[1]
LaPm6Ho2Th | PBE-GGA | optimized geometry

formation enthalpy at 0 K	142	meV/atom
final energy	-4.858	eV per atom
density of states at the Fermi level	28.29	states/eV/cell
total magnetic moment	0.0	μB/cell
space group	C2/c (15)

abc: 8.9428 8.9428 9.5739
angles: 92.84 92.84 115.96
Element x y z (fractional)
La: 0.0356 0.9644 0.7500
La: 0.9644 0.0356 0.2500
Pm: 0.0083 0.5616 0.6858
Pm: 0.1155 0.7591 0.0609
Pm: 0.2409 0.8845 0.4391
Pm: 0.2951 0.5176 0.8856
Pm: 0.4384 0.9917 0.8142
Pm: 0.4824 0.7049 0.6144
Pm: 0.5176 0.2951 0.3856
Pm: 0.5616 0.0083 0.1858
Pm: 0.7049 0.4824 0.1144
Pm: 0.7591 0.1155 0.5609
Pm: 0.8845 0.2409 0.9391
Pm: 0.9917 0.4384 0.3142
Ho: 0.2002 0.3014 0.5529
Ho: 0.3014 0.2002 0.0529
Ho: 0.6986 0.7998 0.9471
Ho: 0.7998 0.6986 0.4471
Th: 0.4100 0.5900 0.2500
Th: 0.5900 0.4100 0.7500



[2]
ErHfHgPt | PBE-GGA | optimized geometry

formation enthalpy at 0 K	-577	meV/atom
final energy	-5.792	eV per atom
density of states at the Fermi level	5.21	states/eV/cell
total magnetic moment	0.0	μB/cell
space group	F-43m (216)

abc: 4.9279 4.9279 4.9279
angles: 60.00 60.00 60.00
Element x y z (fractional)
Er: 0.0000 0.0000 0.0000
Hf: 0.5000 0.5000 0.5000
Hg: 0.2500 0.2500 0.2500
Pt: 0.7500 0.7500 0.7500



[3]
Pr4ZnSeS2 | PBE-GGA | optimized geometry

ΔE_f (raw)	-1526	meV per atom
final energy	-5.542	eV per atom
density of states at the Fermi level	3.50	states/eV/cell
total magnetic moment	0.0	μB/cell
space group	P2/m (10)

abc: 7.3047 4.1471 7.3091
angles: 90.00 108.88 90.00
Element x y z (fractional)
Pr: 0.2373 0.0000 0.2452
Pr: 0.2377 0.5000 0.7438
Pr: 0.7623 0.5000 0.2562
Pr: 0.7627 0.0000 0.7548
Zn: 0.5000 0.0000 0.0000
Se: 0.5000 0.5000 0.5000
S: 0.0000 0.0000 0.5000
S: 0.0000 0.5000 0.0000